Below is a relaxed U2Cr2MoC4 crystal, with properties calculated at the PBE level.

Fermi-level density of states   1.08 states/eV per atom
Total magnetization   0.01 Bohr magnetons per cell
Energy of formation   -112 meV per atom
Space-group type   C2/m

a = 3.017 Å, b = 6.844 Å, c = 5.463 Å
α = 103.12°, β = 90.00°, γ = 102.74°
Positions (direct):
1 Mo 0.000 0.000 0.000
2 Cr 0.678 0.357 0.034
3 Cr 0.322 0.643 0.966
4 U 0.876 0.751 0.480
5 U 0.124 0.249 0.520
6 C 0.245 0.490 0.244
7 C 0.458 0.916 0.241
8 C 0.755 0.510 0.756
9 C 0.542 0.084 0.759

***

Below is a relaxed HfTlS2 crystal, with properties calculated at the PBE level.

Fermi-level density of states   0.44 states/eV per atom
Total magnetization   0.00 Bohr magnetons per cell
ΔE_f (raw)   -0.448 eV/atom
Space-group type   P4/mmm

a = 3.937 Å, b = 3.937 Å, c = 5.532 Å
α = 90.00°, β = 90.00°, γ = 90.00°
Positions (direct):
1 Tl 0.500 0.500 0.000
2 S 0.500 0.500 0.500
3 S 0.000 0.000 0.000
4 Hf 0.000 0.000 0.500

***

Below is a relaxed Ce2ZrHg crystal, with properties calculated at the PBE level.

Fermi-level density of states   2.10 states/eV per atom
Total magnetization   0.00 Bohr magnetons per cell
Excess energy over the best structure of this formula in the dataset   0.202 eV per atom
Energy of formation   122 meV per atom
Space-group type   R-3m

a = 3.128 Å, b = 3.128 Å, c = 11.888 Å
α = 82.44°, β = 82.44°, γ = 60.00°
Positions (direct):
1 Hg 0.500 0.500 0.500
2 Ce 0.914 0.914 0.258
3 Ce 0.086 0.086 0.742
4 Zr 0.000 0.000 0.000

***

Below is a relaxed TbFeSi2Os crystal, with properties calculated at the PBE level.

Fermi-level density of states   0.87 states/eV per atom
Total magnetization   0.90 Bohr magnetons per cell
ΔE_f (raw)   -0.690 eV/atom
Space-group type   I-4m2

a = 4.038 Å, b = 4.038 Å, c = 5.695 Å
α = 110.76°, β = 110.76°, γ = 90.00°
Each line ends with the local moment (μB).
Positions (direct):
1 Si 0.627 0.627 0.254  -0.02
2 Si 0.373 0.373 0.746  -0.02
3 Os 0.250 0.750 0.500  0.06
4 Tb 0.000 0.000 0.000  -0.02
5 Fe 0.750 0.250 0.500  0.91

***

Below is a relaxed HoPu2PaN4 crystal, with properties calculated at the PBE level.

Fermi-level density of states   1.32 states/eV per atom
Total magnetization   10.56 Bohr magnetons per cell
ΔE_f (raw)   -1.483 eV/atom
Space-group type   P2/m

a = 3.501 Å, b = 6.032 Å, c = 6.032 Å
α = 109.45°, β = 90.00°, γ = 90.00°
Each line ends with the local moment (μB).
Positions (direct):
1 Pu 0.000 0.500 0.500  4.97
2 Pu 0.500 0.000 0.500  4.88
3 Ho 0.500 0.500 0.000  0.11
4 N 0.000 0.244 0.757  -0.12
5 N 0.500 0.758 0.763  -0.11
6 N 0.500 0.242 0.237  -0.11
7 N 0.000 0.756 0.243  -0.12
8 Pa 0.000 0.000 0.000  0.46

***

Below is a relaxed ErIn2 crystal, with properties calculated at the PBE level.

Fermi-level density of states   0.80 states/eV per atom
Total magnetization   0.27 Bohr magnetons per cell
Energy of formation   -242 meV per atom
Space-group type   I4/mmm

a = 3.531 Å, b = 3.531 Å, c = 6.727 Å
α = 105.22°, β = 105.22°, γ = 90.00°
Each line ends with the local moment (μB).
Positions (direct):
1 In 0.330 0.330 0.660  0.01
2 In 0.670 0.670 0.340  0.01
3 Er 0.000 0.000 0.000  0.19

***

Below is a relaxed LiCo2ReTe crystal, with properties calculated at the PBE level.

Fermi-level density of states   0.81 states/eV per atom
Total magnetization   5.68 Bohr magnetons per cell
ΔE_f (raw)   1.519 eV/atom
Space-group type   P4/mmm

a = 4.593 Å, b = 4.523 Å, c = 4.593 Å
α = 90.00°, β = 90.00°, γ = 90.00°
Each line ends with the local moment (μB).
Positions (direct):
1 Co 0.500 0.000 0.000  1.20
2 Co 0.000 0.000 0.500  1.05
3 Li 0.000 0.500 0.000  0.01
4 Re 0.500 0.500 0.500  2.99
5 Te 0.000 0.000 0.000  0.05

***

Below is a relaxed LiCoW crystal, with properties calculated at the PBE level.

Fermi-level density of states   0.93 states/eV per atom
Total magnetization   1.19 Bohr magnetons per cell
Excess energy over the best structure of this formula in the dataset   0.027 eV per atom
Energy of formation   355 meV per atom
Space-group type   Fmm2

a = 6.934 Å, b = 6.763 Å, c = 2.616 Å
α = 82.68°, β = 75.34°, γ = 21.98°
Each line ends with the local moment (μB).
Positions (direct):
1 W 0.656 0.656 0.344  -0.05
2 Li 0.341 0.341 0.659  0.00
3 Co 0.003 0.003 0.997  1.26

***

Below is a relaxed AgSn5Br12 crystal, with properties calculated at the PBE level.

Fermi-level density of states   1.02 states/eV per atom
Total magnetization   0.00 Bohr magnetons per cell
ΔE_f (raw)   -0.664 eV/atom
Space-group type   C2/m

a = 7.440 Å, b = 7.467 Å, c = 13.827 Å
α = 89.89°, β = 89.77°, γ = 60.12°
Positions (direct):
1 Sn 0.167 0.667 0.500
2 Sn 0.833 0.333 0.500
3 Sn 0.333 0.334 0.000
4 Sn 0.500 0.000 0.500
5 Sn 0.667 0.666 0.000
6 Br 0.501 0.666 0.376
7 Br 0.339 0.000 0.114
8 Br 0.999 0.667 0.113
9 Br 0.832 0.666 0.624
10 Br 0.665 0.333 0.113
11 Br 0.661 0.000 0.886
12 Br 0.835 0.000 0.376
13 Br 0.335 0.667 0.887
14 Br 0.168 0.334 0.376
15 Br 0.499 0.334 0.624
16 Br 0.165 0.000 0.624
17 Br 0.001 0.333 0.887
18 Ag 0.000 0.000 0.000

***

Below is a relaxed U2Al9Zn crystal, with properties calculated at the PBE level.

Fermi-level density of states   1.12 states/eV per atom
Total magnetization   5.07 Bohr magnetons per cell
Energy of formation   -34 meV per atom
Space-group type   P4/mmm

a = 4.221 Å, b = 4.221 Å, c = 12.392 Å
α = 90.00°, β = 90.00°, γ = 90.00°
Each line ends with the local moment (μB).
Positions (direct):
1 Al 0.500 0.500 0.330  0.02
2 Al 0.500 0.500 0.000  0.01
3 Al 0.000 0.500 0.848  0.01
4 Al 0.500 0.000 0.848  0.01
5 Al 0.000 0.500 0.152  0.01
6 Al 0.500 0.000 0.152  0.01
7 Al 0.500 0.500 0.670  0.02
8 Al 0.500 0.000 0.500  0.01
9 Al 0.000 0.500 0.500  0.01
10 U 0.000 0.000 0.326  2.08
11 U 0.000 0.000 0.674  2.08
12 Zn 0.000 0.000 0.000  -0.01

***

Below is a relaxed Cs2SrNF6 crystal, with properties calculated at the PBE level.

Fermi-level density of states   0.00 states/eV per atom
Total magnetization   1.00 Bohr magnetons per cell
ΔE_f (raw)   -2.039 eV/atom
Space-group type   I4/mmm

a = 6.005 Å, b = 6.005 Å, c = 7.094 Å
α = 64.96°, β = 64.96°, γ = 90.00°
Each line ends with the local moment (μB).
Positions (direct):
1 N 0.500 0.500 0.000  0.65
2 F 0.288 0.712 0.000  0.03
3 F 0.712 0.712 0.000  0.03
4 F 0.206 0.206 0.588  0.01
5 F 0.288 0.288 0.000  0.03
6 F 0.712 0.288 0.000  0.03
7 F 0.794 0.794 0.412  0.01
8 Cs 0.250 0.750 0.500  0.00
9 Cs 0.750 0.250 0.500  0.00
10 Sr 0.000 0.000 0.000  0.00

***

Below is a relaxed AgSbW2 crystal, with properties calculated at the PBE level.

Fermi-level density of states   0.70 states/eV per atom
Total magnetization   0.00 Bohr magnetons per cell
ΔE_f (raw)   0.723 eV/atom
Space-group type   C2/m

a = 5.072 Å, b = 5.072 Å, c = 4.782 Å
α = 80.21°, β = 80.21°, γ = 36.77°
Positions (direct):
1 Sb 0.250 0.250 0.250
2 W 0.498 0.498 0.528
3 W 0.002 0.002 0.972
4 Ag 0.750 0.750 0.750